KCuSi after structural relaxation. Source: the Alexandria database, functional PBE.

The structure in POSCAR format:
```
KCuSi
1.0
-1.350 -2.425 -3.899
3.297 -1.667 -3.042
0.822 -4.705 -0.296
K Si Cu
1 1 1
direct
0.500 0.500 0.500
0.750 0.750 0.750
0.000 0.000 0.000
```

## Properties
**N(E_F)**: 3.24 states/eV/cell
**Excess energy over the best structure of this formula in the dataset**: 0.8919 eV per atom
**Crystal system**: cubic